1.
Here is Sr4Bi3 at its PBEsol-relaxed geometry from Alexandria via LeMat-Bulk. Energies are from meta-GGA SCAN.

## Properties
Volume in A^3/atom: 36.22
Energy of formation from the pure elements in meV/atom: -988
N(E_F) in states/eV per atom: 0.734

abc: 8.701 8.701 8.701
angles: 109.47 109.47 109.47
Sites, in units of the cell vectors:
Sr: 0.000 0.354 0.500
Sr: 0.000 0.854 0.500
Sr: 0.146 0.146 0.146
Sr: 0.354 0.500 0.000
Sr: 0.500 0.000 0.354
Sr: 0.500 0.000 0.854
Sr: 0.646 0.646 0.646
Sr: 0.854 0.500 0.000
Bi: 0.125 0.750 0.875
Bi: 0.250 0.625 0.375
Bi: 0.375 0.250 0.625
Bi: 0.625 0.375 0.250
Bi: 0.750 0.875 0.125
Bi: 0.875 0.125 0.750

2.
Here is Sr3BiTe at its PBEsol-relaxed geometry from Alexandria via LeMat-Bulk. Energies are from meta-GGA SCAN.

## Properties
Volume in A^3/atom: 47.76
E_form (uncorrected) in eV per atom: -0.668
N(E_F) in states/eV per atom: 0.539

abc: 6.204 6.204 6.204
angles: 90.00 90.00 90.00
Sites, in units of the cell vectors:
Sr: 0.000 0.000 0.500
Sr: 0.000 0.500 0.000
Sr: 0.500 0.000 0.000
Bi: 0.000 0.000 0.000
Te: 0.500 0.500 0.500

3.
Here is Sr2Bi2Te at its PBEsol-relaxed geometry from Alexandria via LeMat-Bulk. Energies are from meta-GGA SCAN.

## Properties
Volume in A^3/atom: 38.28
E_form (uncorrected) in eV per atom: -0.672
N(E_F) in states/eV per atom: 0.709

abc: 6.490 6.490 6.490
angles: 120.65 120.65 88.88
Sites, in units of the cell vectors:
Sr: 0.250 0.750 0.500
Sr: 0.750 0.250 0.500
Bi: 0.163 0.163 0.000
Bi: 0.837 0.837 0.000
Te: 0.500 0.500 0.000

4.
Here is SrTi2ZnBi at its PBEsol-relaxed geometry from Alexandria via LeMat-Bulk. Energies are from meta-GGA SCAN.

## Properties
Volume in A^3/atom: 26.56
Energy of formation from the pure elements in meV/atom: 346
N(E_F) in states/eV per atom: 0.838

abc: 4.919 4.919 5.488
angles: 90.00 90.00 90.00
Sites, in units of the cell vectors:
Sr: 0.000 0.000 0.000
Ti: 0.000 0.500 0.500
Ti: 0.500 0.000 0.500
Zn: 0.500 0.500 0.500
Bi: 0.500 0.500 0.000